No. 1
# BaSrLi2

A relaxed BaSrLi2 crystal (PBE, Alexandria via LeMat-Bulk).

Unit cell a=6.210 b=4.119 c=7.241 alpha=90.00 beta=113.03 gamma=90.00
Fractional coordinates of all 4 atoms:
Ba  0.000  0.000  0.000
Sr  0.000  0.500  0.500
Li  0.500  0.000  0.500
Li  0.500  0.500  0.000

Output
Raw total energy: -6.7 eV/cell
Offset from the most stable computed form: 0.57 eV/f.u.
Space-group type: P2/m, No. 10
Formation energy: 175 meV/atom

=====

No. 2
# Ba12Sr7Li

A relaxed Ba12Sr7Li crystal (PBE, Alexandria via LeMat-Bulk).

Unit cell a=12.853 b=12.853 c=12.853 alpha=109.47 beta=109.47 gamma=109.47
Fractional coordinates of all 20 atoms:
Ba  0.103  0.754  0.348
Ba  0.246  0.348  0.594
Ba  0.246  0.652  0.897
Ba  0.348  0.103  0.754
Ba  0.348  0.594  0.246
Ba  0.406  0.754  0.652
Ba  0.594  0.246  0.348
Ba  0.652  0.406  0.754
Ba  0.652  0.897  0.246
Ba  0.754  0.348  0.103
Ba  0.754  0.652  0.406
Ba  0.897  0.246  0.652
Sr  0.000  0.000  0.500
Sr  0.000  0.500  0.000
Sr  0.000  0.500  0.500
Sr  0.500  0.000  0.000
Sr  0.500  0.000  0.500
Sr  0.500  0.500  0.000
Sr  0.500  0.500  0.500
Li  0.000  0.000  0.000

Output
Raw total energy: -27.3 eV/cell
Offset from the most stable computed form: 8.67 eV/f.u.
Space-group type: Im-3, No. 204
Formation energy: 473 meV/atom

=====

No. 3
# Ba4Sr2Li

A relaxed Ba4Sr2Li crystal (PBE, Alexandria via LeMat-Bulk).

Unit cell a=11.606 b=11.606 c=11.606 alpha=147.85 beta=147.85 gamma=46.11
Fractional coordinates of all 7 atoms:
Ba  0.000  0.500  0.500
Ba  0.169  0.169  0.000
Ba  0.500  0.000  0.500
Ba  0.831  0.831  0.000
Sr  0.368  0.368  0.000
Sr  0.632  0.632  0.000
Li  0.000  0.000  0.000

Output
Raw total energy: -11.4 eV/cell
Offset from the most stable computed form: 0.54 eV/f.u.
Space-group type: I4/mmm, No. 139
Formation energy: 223 meV/atom

=====

No. 4
# Ba2SrLi

A relaxed Ba2SrLi crystal (PBE, Alexandria via LeMat-Bulk).

Unit cell a=13.261 b=13.261 c=13.261 alpha=18.71 beta=18.71 gamma=18.71
Fractional coordinates of all 4 atoms:
Ba  0.000  0.000  0.000
Ba  0.186  0.186  0.186
Sr  0.427  0.427  0.427
Li  0.593  0.593  0.593

Output
Raw total energy: -7.0 eV/cell
Offset from the most stable computed form: 0.31 eV/f.u.
Space-group type: R3m, No. 160
Formation energy: 101 meV/atom

=====

No. 5
# BaSrLi2

A relaxed BaSrLi2 crystal (PBE, Alexandria via LeMat-Bulk).

Unit cell a=4.906 b=5.132 c=7.083 alpha=90.00 beta=110.19 gamma=90.00
Fractional coordinates of all 4 atoms:
Ba  0.000  0.000  0.000
Sr  0.290  0.500  0.580
Li  0.588  0.500  0.176
Li  0.713  0.000  0.427

Output
Raw total energy: -7.3 eV/cell
Offset from the most stable computed form: 0.02 eV/f.u.
Space-group type: Pm, No. 6
Formation energy: 36 meV/atom

=====

No. 6
# Ba4SrLi

A relaxed Ba4SrLi crystal (PBE, Alexandria via LeMat-Bulk).

Unit cell a=10.561 b=10.561 c=10.561 alpha=129.19 beta=129.19 gamma=74.70
Fractional coordinates of all 12 atoms:
Ba  0.025  0.525  0.829
Ba  0.196  0.025  0.500
Ba  0.304  0.804  0.829
Ba  0.475  0.304  0.500
Ba  0.525  0.696  0.500
Ba  0.696  0.196  0.171
Ba  0.804  0.975  0.500
Ba  0.975  0.475  0.171
Sr  0.000  0.000  0.000
Sr  0.500  0.500  0.000
Li  0.250  0.250  0.000
Li  0.750  0.750  0.000

Output
Raw total energy: -21.3 eV/cell
Offset from the most stable computed form: 0.51 eV/f.u.
Space-group type: I4/mcm, No. 140
Formation energy: 108 meV/atom

=====

No. 7
# Ba2SrLi

A relaxed Ba2SrLi crystal (PBE, Alexandria via LeMat-Bulk).

Unit cell a=6.705 b=6.705 c=6.705 alpha=60.00 beta=60.00 gamma=60.00
Fractional coordinates of all 4 atoms:
Ba  0.250  0.250  0.250
Ba  0.750  0.750  0.750
Sr  0.000  0.000  0.000
Li  0.500  0.500  0.500

Output
Raw total energy: -7.0 eV/cell
Offset from the most stable computed form: 0.36 eV/f.u.
Space-group type: Fm-3m, No. 225
Formation energy: 114 meV/atom

=====

No. 8
# Ba4Sr2Li

A relaxed Ba4Sr2Li crystal (PBE, Alexandria via LeMat-Bulk).

Unit cell a=13.861 b=13.861 c=4.122 alpha=90.00 beta=90.00 gamma=150.09
Fractional coordinates of all 7 atoms:
Ba  0.074  0.926  0.000
Ba  0.373  0.627  0.500
Ba  0.627  0.373  0.500
Ba  0.926  0.074  0.000
Sr  0.214  0.786  0.500
Sr  0.786  0.214  0.500
Li  0.500  0.500  0.000

Output
Raw total energy: -11.9 eV/cell
Offset from the most stable computed form: 0.00 eV/f.u.
Space-group type: Cmmm, No. 65
Formation energy: 146 meV/atom